Record 1
# AgPt3O6

An optimized crystal structure of AgPt3O6 (GGA-PBE, the Alexandria database).

Lattice parameters (Å, degrees): 7.334 10.455 3.181 90.00 90.00 90.00
Space group Cmmm (No. 65)
Unique sites:
Ag: 0.000 0.000 0.000 [2 per cell]
Pt: 0.000 0.500 0.000 [2 per cell]
Pt: 0.250 0.250 0.500 [4 per cell]
O: 0.000 0.164 0.500 [4 per cell]
O: 0.203 0.370 0.000 [8 per cell]

## Properties
Crystal system = orthorhombic
Energy relative to the elements, uncorrected = -0.44 eV per atom
DOS at the Fermi energy = 9.08 states/eV per cell



Record 2
# Ag12PtO7

An optimized crystal structure of Ag12PtO7 (GGA-PBE, the Alexandria database).

Lattice parameters (Å, degrees): 11.4293 11.4293 7.9606 90.00 90.00 120.00
Space group R-3 (No. 148, hexagonal axes)
Unique sites:
Ag: 0.0071 0.4130 0.1864 [18 per cell]
Ag: 0.0610 0.8647 0.8467 [18 per cell]
Pt: 0.0000 0.0000 0.5000 [3 per cell]
O: 0.0000 0.0000 0.0000 [3 per cell]
O: 0.0639 0.8949 0.3599 [18 per cell]

## Properties
Crystal system = trigonal
Energy relative to the elements, uncorrected = -0.04 eV per atom
DOS at the Fermi energy = 18.45 states/eV per cell



Record 3
# Ag2PtO

An optimized crystal structure of Ag2PtO (GGA-PBE, the Alexandria database).

Lattice parameters (Å, degrees): 7.058 7.058 5.006 90.00 90.00 90.00
Space group I-42d (No. 122)
Unique sites:
Ag: 0.191 0.250 0.125 [8 per cell]
Pt: 0.000 0.000 0.500 [4 per cell]
O: 0.000 0.000 0.000 [4 per cell]

## Properties
Crystal system = tetragonal
Energy relative to the elements, uncorrected = 0.36 eV per atom
DOS at the Fermi energy = 8.37 states/eV per cell



Record 4
# AgPtO3

An optimized crystal structure of AgPtO3 (GGA-PBE, the Alexandria database).

Lattice parameters (Å, degrees): 3.999 3.999 3.999 90.00 90.00 90.00
Space group Pm-3m (No. 221)
Unique sites:
Ag: 0.000 0.000 0.000 [1 per cell]
Pt: 0.500 0.500 0.500 [1 per cell]
O: 0.000 0.000 0.500 [3 per cell]

## Properties
Crystal system = cubic
Energy relative to the elements, uncorrected = 1.03 eV per atom
DOS at the Fermi energy = 4.21 states/eV per cell



Record 5
# AgPt2O4

An optimized crystal structure of AgPt2O4 (GGA-PBE, the Alexandria database).

Lattice parameters (Å, degrees): 9.162 9.174 9.195 90.00 90.00 90.00
Space group Fddd (No. 70, origin choice 2)
Unique sites:
Ag: 0.125 0.125 0.125 [8 per cell]
Pt: 0.000 0.000 0.500 [16 per cell]
O: 0.022 0.023 0.727 [32 per cell]

## Properties
Crystal system = orthorhombic
Energy relative to the elements, uncorrected = -0.29 eV per atom
DOS at the Fermi energy = 18.57 states/eV per cell



Record 6
# AgPtO2

An optimized crystal structure of AgPtO2 (GGA-PBE, the Alexandria database).

Lattice parameters (Å, degrees): 4.395 4.395 12.279 90.00 90.00 90.00
Space group I-42d (No. 122)
Unique sites:
Ag: 0.000 0.000 0.000 [4 per cell]
Pt: 0.000 0.000 0.500 [4 per cell]
O: 0.184 0.250 0.625 [8 per cell]

## Properties
Crystal system = tetragonal
Energy relative to the elements, uncorrected = 0.17 eV per atom
DOS at the Fermi energy = 21.13 states/eV per cell



Record 7
# AgPtO3

An optimized crystal structure of AgPtO3 (GGA-PBE, the Alexandria database).

Lattice parameters (Å, degrees): 3.956 3.956 3.956 90.00 90.00 90.00
Space group Pm-3m (No. 221)
Unique sites:
Ag: 0.000 0.000 0.000 [1 per cell]
Pt: 0.500 0.500 0.500 [1 per cell]
O: 0.000 0.500 0.500 [3 per cell]

## Properties
Crystal system = cubic
Energy relative to the elements, uncorrected = 0.16 eV per atom
DOS at the Fermi energy = 3.23 states/eV per cell



Record 8
# Ag3PtO

An optimized crystal structure of Ag3PtO (GGA-PBE, the Alexandria database).

Lattice parameters (Å, degrees): 4.374 4.374 4.374 90.00 90.00 90.00
Space group Pm-3m (No. 221)
Unique sites:
Ag: 0.000 0.000 0.500 [3 per cell]
Pt: 0.500 0.500 0.500 [1 per cell]
O: 0.000 0.000 0.000 [1 per cell]

## Properties
Crystal system = cubic
Energy relative to the elements, uncorrected = 0.27 eV per atom
ΔE to the lowest computed polymorph = 0.000 eV/atom
DOS at the Fermi energy = 1.60 states/eV per cell